# PBE Rb2AlIrBr6, relaxed
# Formation energy without anion corrections (eV/atom): -0.8681
# Volume (Å³/atom): 30.37
# Crystal system: tetragonal
data_Rb2AlIrBr6
_symmetry_space_group_name_H-M 'I 4/m m m'
_symmetry_Int_Tables_number 139
_symmetry_space_group_name_Hall '-I 4 2'
_cell_length_a 7.552
_cell_length_b 7.552
_cell_length_c 10.648
_cell_angle_alpha 90.00
_cell_angle_beta 90.00
_cell_angle_gamma 90.00
loop_
_atom_site_label
_atom_site_type_symbol
_atom_site_fract_x
_atom_site_fract_y
_atom_site_fract_z
Rb1 Rb 0.000 0.500 0.250
Al1 Al 0.000 0.000 0.000
Ir1 Ir 0.000 0.000 0.500
Br1 Br 0.000 0.000 0.258
Br2 Br 0.241 0.241 0.500